## FeSb2F (PBE+U)

Data for a geometry-optimized FeSb2F structure.

Output
- DOS(E_F): 0.405 states/eV/atom
- Energy above the lowest structure with this stoichiometry: 61.2 meV/atom
- Space-group type: I-42d (122)

abc: 10.3070 10.3070 10.3070
angles: 156.05 156.05 34.12
Last column: nearest neighbours and their distance in Å.
Fractional positions:
Fe (0.0000, 0.0000, 0.0000)  4 Sb 2.88, 4 F 3.02
Fe (0.7500, 0.2500, 0.5000)  4 Sb 2.88, 4 F 3.02
Sb (0.1169, 0.6250, 0.9919)  2 Fe 2.88, 2 F 2.90, 4 Sb 2.98-3.07
Sb (0.3750, 0.3669, 0.4919)  2 Fe 2.88, 2 F 2.90, 4 Sb 2.98-3.07
Sb (0.6331, 0.1250, 0.0081)  2 Fe 2.88, 2 F 2.90, 4 Sb 2.98-3.07
Sb (0.8750, 0.8831, 0.5081)  2 Fe 2.88, 2 F 2.90, 4 Sb 2.98-3.07
F (0.2500, 0.7500, 0.5000)  4 Sb 2.90, 4 Fe 3.02
F (0.5000, 0.5000, 0.0000)  4 Sb 2.90, 4 Fe 3.02